Crystalline CrOF at its relaxed geometry, computed with GGA+U.

```
24
Lattice="-2.543 1.661 0.350 -3.705 -4.602 -5.077 -3.168 -7.038 10.370" Properties=species:S:1:pos:R:3 pbc="T T T"
F -6.823 -10.180 5.397
F -5.073 -4.789 5.884
F -3.837 -1.886 1.099
F -3.244 -4.305 3.527
F -4.342 -5.191 -0.241
F -6.171 -5.675 2.116
F -5.579 -8.094 4.544
F -2.592 0.200 0.246
O -2.600 -3.833 5.967
O -4.366 -6.917 7.765
O -6.816 -6.147 -0.324
O -7.993 -8.705 3.256
O -1.423 -1.275 2.386
O -2.331 -1.873 -1.373
O -5.050 -3.063 -2.123
O -7.084 -8.107 7.016
Cr -3.436 -5.357 7.124
Cr -7.461 -8.272 5.061
Cr -5.980 -4.623 -1.482
Cr -6.199 -7.048 8.426
Cr -5.234 -6.766 0.751
Cr -4.182 -3.214 4.891
Cr -3.217 -2.932 -2.783
Cr -1.954 -1.708 0.582
```

Computed properties:
Raw total energy in eV per cell: -168.3